DFT (PBE-GGA) results for BaAgTe3Ir after structural relaxation.

V	337	Å³/cell
DFT total energy	-51.8	eV/cell
magnetization	0.01	Bohr magnetons per cell

Cell: 7.4701 7.4701 10.8473 Å, 90.00 90.00 146.20°
With the nearest neighbours (Å) after each atom.
Atoms (fractional coordinates):
Ba 0.2280 0.7720 0.7500  2 Ag 3.42, 8 Te 3.56-3.66
Ba 0.7720 0.2280 0.2500  2 Ag 3.42, 8 Te 3.56-3.66
Ag 0.4573 0.5427 0.2500  4 Te 2.75
Ag 0.5427 0.4573 0.7500  4 Te 2.75
Te 0.0748 0.9252 0.2500  2 Ag 2.75, 2 Ir 2.91
Te 0.3793 0.6207 0.0184  1 Ag 2.75, 2 Ir 2.78
Te 0.3793 0.6207 0.4816  1 Ag 2.75, 2 Ir 2.78
Te 0.6207 0.3793 0.5184  1 Ag 2.75, 2 Ir 2.78
Te 0.6207 0.3793 0.9816  1 Ag 2.75, 2 Ir 2.78
Te 0.9252 0.0748 0.7500  2 Ag 2.75, 2 Ir 2.91
Ir 0.0000 0.0000 0.0000  6 Te 2.78-2.91
Ir 0.0000 0.0000 0.5000  6 Te 2.78-2.91